[1]
Material: SbIBr2
Method: DFT, PBE-GGA
State: optimized geometry

density of states at the Fermi level = 0.0 states/eV/f.u.
energy above the lowest structure with this stoichiometry = 21.42 kJ/mol of atoms
total magnetization = 0.0 μB per cell
ΔE_f (raw) = -0.290 eV per atom
DFT total energy = -2.5447 eV/atom

Geometry as CIF:
```
data_SbIBr2
_cell_length_a 10.0619
_cell_length_b 10.0619
_cell_length_c 6.0510
_cell_angle_alpha 90.00
_cell_angle_beta 90.00
_cell_angle_gamma 90.00
_symmetry_space_group_name_H-M 'I -4 2 d'
_symmetry_Int_Tables_number 122
_symmetry_space_group_name_Hall 'I -4 2bw'
loop_
_atom_site_label
_atom_site_fract_x
_atom_site_fract_y
_atom_site_fract_z
Sb1 0.0000 0.0000 0.0000
I1 0.0000 0.0000 0.5000
Br1 0.1209 0.2500 0.1250
```

[2]
Material: SbIBr4
Method: DFT, PBE-GGA
State: optimized geometry

density of states at the Fermi level = 3.1 states/eV/f.u.
energy above the lowest structure with this stoichiometry = 14.96 kJ/mol of atoms
total magnetization = 4.1 μB per cell
ΔE_f (raw) = -0.214 eV per atom
DFT total energy = -2.2743 eV/atom

Geometry as CIF:
```
data_SbIBr4
_cell_length_a 16.3827
_cell_length_b 9.3930
_cell_length_c 7.7375
_cell_angle_alpha 90.00
_cell_angle_beta 116.18
_cell_angle_gamma 90.00
_symmetry_space_group_name_H-M 'C 1 2/m 1'
_symmetry_Int_Tables_number 12
_symmetry_space_group_name_Hall '-C 2y'
loop_
_atom_site_label
_atom_site_fract_x
_atom_site_fract_y
_atom_site_fract_z
Sb1 0.0675 0.0000 0.3168
I1 0.1567 0.5000 0.1531
Br1 0.0000 0.2948 0.0000
Br2 0.1369 0.1961 0.5724
Br3 0.1865 0.0000 0.1892
```

[3]
Material: Sb2IBr
Method: DFT, PBE-GGA
State: optimized geometry

density of states at the Fermi level = 3.0 states/eV/f.u.
energy above the lowest structure with this stoichiometry = 0.00 kJ/mol of atoms
total magnetization = 0.0 μB per cell
ΔE_f (raw) = 0.282 eV per atom
DFT total energy = -2.5848 eV/atom

Geometry as CIF:
```
data_Sb2IBr
_cell_length_a 8.6814
_cell_length_b 8.6814
_cell_length_c 6.8771
_cell_angle_alpha 90.00
_cell_angle_beta 90.00
_cell_angle_gamma 90.00
_symmetry_space_group_name_H-M 'I -4 2 d'
_symmetry_Int_Tables_number 122
_symmetry_space_group_name_Hall 'I -4 2bw'
loop_
_atom_site_label
_atom_site_fract_x
_atom_site_fract_y
_atom_site_fract_z
Sb1 0.2445 0.2500 0.1250
I1 0.0000 0.0000 0.5000
Br1 0.0000 0.0000 0.0000
```